Record 1
16
Lattice="3.813 0.000 0.000 -1.907 4.811 0.000 0.000 0.000 15.398" Properties=species:S:1:pos:R:3 comment="PBE-GGA Tm3Cu3Ni2, relaxed" n_ef_per_ev_fu=4.5 formation_enthalpy_0k_ev_per_atom=-0.3598 pbc="T T T"
Tm 1.907 4.148 6.097
Tm 0.000 0.664 13.796
Tm 1.907 4.148 1.602
Tm 0.000 0.664 9.301
Tm 1.907 1.459 3.850
Tm 0.000 3.352 11.549
Cu 1.907 1.367 7.230
Cu 0.000 3.445 14.930
Cu 1.907 1.367 0.469
Cu 0.000 3.445 8.168
Cu 0.000 3.495 3.850
Cu 1.907 1.317 11.549
Ni 1.907 2.686 13.601
Ni 0.000 2.125 5.902
Ni 1.907 2.686 9.496
Ni 0.000 2.125 1.797

***

Record 2
8
Lattice="-2.004 -2.772 -1.298 3.239 -1.051 -2.757 3.962 -6.136 6.993" Properties=species:S:1:pos:R:3 comment="PBE-GGA Tm4Cu3Ni, relaxed" n_ef_per_ev_fu=4.3 formation_enthalpy_0k_ev_per_atom=-0.3490 pbc="T T T"
Tm 2.014 -4.075 0.438
Tm 5.052 -5.842 4.681
Tm 0.547 -0.847 0.965
Tm 1.542 -5.327 3.842
Cu 3.886 -4.036 2.623
Cu 1.690 -2.617 2.983
Cu 2.673 -7.078 5.838
Ni 0.913 -2.369 -1.506

***

Record 3
14
Lattice="-3.264 0.394 -1.836 -4.075 -1.251 3.115 -2.974 13.472 4.317" Properties=species:S:1:pos:R:3 comment="PBE-GGA Tm3Cu3Ni, relaxed" n_ef_per_ev_fu=3.9 formation_enthalpy_0k_ev_per_atom=-0.3311 pbc="T T T"
Tm -4.923 8.022 2.750
Tm -5.390 4.593 2.846
Tm -2.540 3.001 1.297
Tm -7.774 9.614 4.299
Tm -5.226 12.217 4.189
Tm -5.087 0.398 1.408
Cu -7.505 6.547 3.164
Cu -2.808 6.068 2.432
Cu -6.627 11.394 6.505
Cu -3.686 1.221 -0.908
Cu -7.202 2.473 1.751
Cu -3.111 10.142 3.845
Ni -3.958 5.251 0.439
Ni -6.355 7.364 5.157

***

Record 4
12
Lattice="7.560 -0.421 0.000 -3.438 6.746 0.000 -2.061 -3.162 6.563" Properties=species:S:1:pos:R:3 comment="PBE-GGA Tm4CuNi, relaxed" n_ef_per_ev_fu=9.2 relative_energy_ev_per_atom=0.168 formation_enthalpy_0k_ev_per_atom=-0.0499 pbc="T T T"
Tm -2.805 4.116 4.598
Tm 2.568 0.546 4.710
Tm 3.179 2.468 1.316
Tm -2.256 5.943 1.428
Tm -1.086 0.743 5.248
Tm 0.849 3.919 5.135
Tm 4.961 -1.013 1.853
Tm -0.601 2.679 1.966
Cu 0.981 1.506 0.000
Cu 4.761 1.295 3.282
Ni 3.138 4.815 0.000
Ni 2.796 -1.720 3.282

***

Record 5
3
Lattice="3.342 0.000 0.000 0.000 3.342 0.000 -1.671 -1.671 4.391" Properties=species:S:1:pos:R:3 comment="PBE-GGA TmCuNi, relaxed" n_ef_per_ev_fu=2.8 formation_enthalpy_0k_ev_per_atom=-0.2419 pbc="T T T"
Ni 0.000 0.000 2.371
Tm 1.671 1.671 3.915
Cu 1.671 1.671 1.178

***

Record 6
8
Lattice="3.610 0.000 0.000 0.000 4.311 0.000 0.000 0.000 10.011" Properties=species:S:1:pos:R:3 comment="PBE-GGA Tm4CuNi3, relaxed" n_ef_per_ev_fu=6.4 formation_enthalpy_0k_ev_per_atom=-0.4498 pbc="T T T"
Tm 1.805 2.156 3.668
Tm 0.000 2.156 8.556
Tm 0.000 0.000 1.410
Tm 1.805 0.000 6.394
Cu 1.805 2.156 0.720
Ni 0.000 2.156 5.761
Ni 0.000 0.000 4.253
Ni 1.805 0.000 9.281

***

Record 7
10
Lattice="-0.552 -4.654 0.945 1.969 0.642 4.309 -7.857 3.474 0.421" Properties=species:S:1:pos:R:3 comment="PBE-GGA TmCu3Ni, relaxed" n_ef_per_ev_fu=2.8 relative_energy_ev_per_atom=0.327 formation_enthalpy_0k_ev_per_atom=0.1365 pbc="T T T"
Tm -1.264 -2.124 0.894
Tm -6.437 -1.062 3.100
Cu -4.467 0.258 4.655
Cu -0.361 0.856 4.005
Cu -1.338 0.538 1.868
Cu -4.193 2.566 4.187
Cu -4.235 0.870 1.806
Cu -2.205 -1.408 3.870
Ni 0.000 0.000 0.000
Ni -2.590 1.055 3.679

***

Record 8
14
Lattice="3.994 0.000 0.000 -1.997 4.851 0.000 0.000 0.000 12.981" Properties=species:S:1:pos:R:3 comment="PBE-GGA Tm3CuNi3, relaxed" n_ef_per_ev_fu=3.5 relative_energy_ev_per_atom=0.000 formation_enthalpy_0k_ev_per_atom=-0.4598 pbc="T T T"
Tm 0.000 1.945 11.648
Tm 1.997 2.906 1.333
Tm 0.000 1.945 7.824
Tm 1.997 2.906 5.157
Tm 0.000 4.671 9.736
Tm 1.997 0.180 3.245
Cu 1.997 0.000 0.000
Cu 1.997 0.000 6.491
Ni 1.997 4.012 11.781
Ni 0.000 0.839 1.200
Ni 1.997 4.012 7.691
Ni 0.000 0.839 5.290
Ni 1.997 2.650 9.736
Ni 0.000 2.201 3.245

***

Record 9
6
Lattice="-0.847 -4.292 -0.789 3.829 -1.335 3.149 -4.521 2.740 2.473" Properties=species:S:1:pos:R:3 comment="PBE-GGA Tm2Cu3Ni, relaxed" n_ef_per_ev_fu=3.8 relative_energy_ev_per_atom=0.282 formation_enthalpy_0k_ev_per_atom=-0.0234 pbc="T T T"
Tm -1.654 -2.176 1.089
Tm 0.115 -0.711 3.745
Cu -2.305 -0.056 2.779
Cu 0.000 0.000 0.000
Cu 0.766 -2.831 2.054
Ni 1.915 -0.667 1.575

***

Record 10
12
Lattice="-2.389 1.049 -3.969 -2.325 -0.488 4.113 0.940 7.523 1.424" Properties=species:S:1:pos:R:3 comment="PBE-GGA TmCu3Ni8, relaxed" n_ef_per_ev_fu=11.1 formation_enthalpy_0k_ev_per_atom=-0.0624 pbc="T T T"
Tm 0.532 4.262 0.806
Cu -1.983 3.614 -0.693
Cu -2.308 1.012 -1.185
Cu 0.897 7.178 1.358
Ni -1.878 3.776 2.129
Ni -1.407 7.540 2.841
Ni -0.508 6.238 -0.887
Ni -1.643 6.000 1.122
Ni -2.810 6.512 -0.817
Ni -0.927 1.848 1.047
Ni -2.106 1.600 3.132
Ni -3.318 2.133 1.120

***

Record 11
12
Lattice="-0.296 -2.662 2.630 5.466 1.188 1.818 -2.529 6.344 3.457" Properties=species:S:1:pos:R:3 comment="PBE-GGA TmCuNi4, relaxed" n_ef_per_ev_fu=7.2 relative_energy_ev_per_atom=0.165 formation_enthalpy_0k_ev_per_atom=-0.1376 pbc="T T T"
Tm 0.780 1.395 1.500
Tm 1.861 3.475 6.405
Cu 2.843 3.244 3.603
Cu -0.202 1.627 4.302
Ni 2.585 -0.737 2.224
Ni -0.148 -1.331 1.315
Ni 4.133 1.430 4.591
Ni -1.492 3.440 3.313
Ni 0.623 3.900 4.017
Ni 2.018 0.971 3.888
Ni 3.709 1.622 2.059
Ni -1.068 3.249 5.846

***

Record 12
13
Lattice="0.497 -3.568 3.014 -4.732 -4.076 -0.386 3.171 -4.794 -2.539" Properties=species:S:1:pos:R:3 comment="PBE-GGA TmCu2Ni10, relaxed" n_ef_per_ev_fu=20.7 formation_enthalpy_0k_ev_per_atom=-0.0976 pbc="T T T"
Tm 0.000 0.000 0.000
Cu 1.585 -2.397 -1.269
Cu 1.834 -4.181 0.237
Ni 0.853 -8.126 1.220
Ni -1.917 -4.313 -1.130
Ni -0.261 -5.450 0.911
Ni -0.803 -6.989 -0.822
Ni -2.118 -3.822 1.314
Ni -2.366 -2.038 -0.193
Ni -2.730 -6.009 0.657
Ni 1.665 -6.430 -0.567
Ni -0.841 -9.482 -0.107
Ni -0.223 -2.957 0.196